(1)
LiP4WO12 at its PBEsol-relaxed geometry, computed with SCAN.

abc: 7.778 12.918 12.135
angles: 90.00 129.06 90.00
Atoms (fractional coordinates):
1 Li 0.060 0.232 0.018
2 Li 0.060 0.268 0.518
3 Li 0.940 0.732 0.482
4 Li 0.940 0.768 0.982
5 P 0.081 0.142 0.748
6 P 0.081 0.358 0.248
7 P 0.163 0.571 0.219
8 P 0.163 0.929 0.719
9 P 0.291 0.637 0.746
10 P 0.291 0.863 0.246
11 P 0.438 0.079 0.264
12 P 0.438 0.421 0.764
13 P 0.562 0.579 0.236
14 P 0.562 0.921 0.736
15 P 0.709 0.137 0.754
16 P 0.709 0.363 0.254
17 P 0.837 0.071 0.281
18 P 0.837 0.429 0.781
19 P 0.919 0.642 0.752
20 P 0.919 0.858 0.252
21 W 0.361 0.718 0.497
22 W 0.361 0.782 0.997
23 W 0.639 0.218 0.003
24 W 0.639 0.282 0.503
25 O 0.025 0.036 0.666
26 O 0.025 0.464 0.166
27 O 0.031 0.650 0.106
28 O 0.031 0.850 0.606
29 O 0.034 0.726 0.865
30 O 0.034 0.774 0.365
31 O 0.036 0.633 0.682
32 O 0.036 0.867 0.182
33 O 0.237 0.589 0.367
34 O 0.237 0.911 0.867
35 O 0.250 0.119 0.123
36 O 0.250 0.381 0.623
37 O 0.278 0.656 0.618
38 O 0.278 0.844 0.118
39 O 0.322 0.155 0.864
40 O 0.322 0.345 0.364
41 O 0.373 0.531 0.235
42 O 0.373 0.969 0.735
43 O 0.376 0.525 0.808
44 O 0.376 0.975 0.308
45 O 0.417 0.714 0.865
46 O 0.417 0.786 0.365
47 O 0.458 0.646 0.107
48 O 0.458 0.854 0.607
49 O 0.542 0.146 0.393
50 O 0.542 0.354 0.893
51 O 0.583 0.214 0.635
52 O 0.583 0.286 0.135
53 O 0.624 0.025 0.692
54 O 0.624 0.475 0.192
55 O 0.627 0.031 0.265
56 O 0.627 0.469 0.765
57 O 0.678 0.655 0.636
58 O 0.678 0.845 0.136
59 O 0.722 0.156 0.882
60 O 0.722 0.344 0.382
61 O 0.750 0.619 0.377
62 O 0.750 0.881 0.877
63 O 0.763 0.089 0.133
64 O 0.763 0.411 0.633
65 O 0.964 0.133 0.818
66 O 0.964 0.367 0.318
67 O 0.966 0.226 0.635
68 O 0.966 0.274 0.135
69 O 0.969 0.150 0.394
70 O 0.969 0.350 0.894
71 O 0.975 0.536 0.834
72 O 0.975 0.964 0.334

formation energy (no corrections): -2218 meV per atom
polymorph energy (0 for the lowest one): 0.30 kcal/mol of atoms
size of the total moment: 0.1667 μB per atom
N(E_F): 0.00 states/eV per cell
space group: P2_1/c (14)

=====

(2)
LiPWO5 at its PBEsol-relaxed geometry, computed with SCAN.

abc: 7.080 7.315 7.972
angles: 89.29 87.12 62.92
Atoms (fractional coordinates):
1 Li 0.196 0.228 0.434
2 Li 0.301 0.774 0.063
3 Li 0.699 0.226 0.937
4 Li 0.804 0.772 0.566
5 P 0.226 0.756 0.405
6 P 0.274 0.244 0.096
7 P 0.726 0.756 0.904
8 P 0.774 0.244 0.595
9 W 0.249 0.002 0.750
10 W 0.250 0.498 0.751
11 W 0.750 0.502 0.249
12 W 0.751 0.998 0.250
13 O 0.063 0.401 0.178
14 O 0.080 0.849 0.255
15 O 0.131 0.645 0.524
16 O 0.244 0.752 0.813
17 O 0.247 0.075 0.000
18 O 0.248 0.929 0.499
19 O 0.260 0.247 0.666
20 O 0.372 0.350 0.974
21 O 0.420 0.147 0.243
22 O 0.437 0.602 0.321
23 O 0.563 0.398 0.679
24 O 0.580 0.853 0.757
25 O 0.628 0.650 0.026
26 O 0.740 0.753 0.334
27 O 0.752 0.071 0.501
28 O 0.753 0.925 0.000
29 O 0.756 0.248 0.187
30 O 0.869 0.355 0.476
31 O 0.920 0.151 0.745
32 O 0.937 0.599 0.822

formation energy (no corrections): -2243 meV per atom
polymorph energy (0 for the lowest one): 0.00 kcal/mol of atoms
size of the total moment: 0.2514 μB per atom
N(E_F): 0.27 states/eV per cell
space group: P-1 (2)

=====

(3)
Li2P5WO15 at its PBEsol-relaxed geometry, computed with SCAN.

abc: 6.725 6.725 13.679
angles: 97.48 97.48 111.86
Atoms (fractional coordinates):
1 Li 0.146 0.854 0.500
2 Li 0.447 0.923 0.840
3 Li 0.854 0.146 0.000
4 Li 0.923 0.447 0.340
5 P 0.009 0.627 0.027
6 P 0.106 0.910 0.226
7 P 0.261 0.375 0.496
8 P 0.290 0.481 0.720
9 P 0.375 0.261 0.996
10 P 0.481 0.290 0.220
11 P 0.502 0.751 0.025
12 P 0.627 0.009 0.527
13 P 0.751 0.502 0.525
14 P 0.910 0.106 0.726
15 W 0.597 0.864 0.275
16 W 0.864 0.597 0.775
17 O 0.028 0.840 0.106
18 O 0.137 0.200 0.980
19 O 0.169 0.238 0.738
20 O 0.175 0.475 0.420
21 O 0.200 0.137 0.480
22 O 0.203 0.633 0.777
23 O 0.209 0.463 0.604
24 O 0.238 0.169 0.238
25 O 0.251 0.705 0.003
26 O 0.261 0.810 0.264
27 O 0.437 0.944 0.578
28 O 0.463 0.209 0.104
29 O 0.475 0.175 0.920
30 O 0.510 0.521 0.025
31 O 0.521 0.510 0.525
32 O 0.529 0.539 0.749
33 O 0.539 0.529 0.249
34 O 0.608 0.856 0.946
35 O 0.609 0.884 0.129
36 O 0.619 0.875 0.429
37 O 0.633 0.203 0.277
38 O 0.705 0.251 0.503
39 O 0.810 0.261 0.764
40 O 0.840 0.028 0.606
41 O 0.856 0.608 0.446
42 O 0.875 0.619 0.929
43 O 0.880 0.917 0.777
44 O 0.884 0.609 0.629
45 O 0.917 0.880 0.277
46 O 0.944 0.437 0.078

formation energy (no corrections): -2236 meV per atom
polymorph energy (0 for the lowest one): 0.81 kcal/mol of atoms
size of the total moment: 0.1304 μB per atom
N(E_F): 0.00 states/eV per cell
space group: Cc (9)

=====

(4)
LiYPO2 at its PBEsol-relaxed geometry, computed with SCAN.

abc: 4.297 4.297 5.566
angles: 90.00 90.00 90.00
Atoms (fractional coordinates):
1 Li 0.000 0.000 0.000
2 Y 0.500 0.500 0.500
3 P 0.500 0.500 0.000
4 O 0.000 0.500 0.500
5 O 0.500 0.000 0.500

formation energy (no corrections): -1092 meV per atom
size of the total moment: 0.6007 μB per atom
N(E_F): 2.18 states/eV per cell
space group: P4/mmm (123)

=====

(5)
Li4ZnP2O8 at its PBEsol-relaxed geometry, computed with SCAN.

abc: 8.094 10.252 8.082
angles: 90.00 104.81 90.00
Atoms (fractional coordinates):
1 Li 0.022 0.075 0.272
2 Li 0.022 0.425 0.772
3 Li 0.101 0.164 0.599
4 Li 0.101 0.336 0.099
5 Li 0.156 0.662 0.658
6 Li 0.156 0.838 0.158
7 Li 0.349 0.152 0.348
8 Li 0.349 0.348 0.848
9 Li 0.651 0.652 0.152
10 Li 0.651 0.848 0.652
11 Li 0.844 0.162 0.842
12 Li 0.844 0.338 0.342
13 Li 0.899 0.664 0.901
14 Li 0.899 0.836 0.401
15 Li 0.978 0.575 0.228
16 Li 0.978 0.925 0.728
17 Zn 0.409 0.656 0.410
18 Zn 0.409 0.844 0.910
19 Zn 0.591 0.156 0.090
20 Zn 0.591 0.344 0.590
21 P 0.210 0.091 0.972
22 P 0.210 0.409 0.472
23 P 0.269 0.593 0.035
24 P 0.269 0.907 0.535
25 P 0.731 0.093 0.465
26 P 0.731 0.407 0.965
27 P 0.790 0.591 0.528
28 P 0.790 0.909 0.028
29 O 0.059 0.099 0.810
30 O 0.059 0.401 0.310
31 O 0.117 0.656 0.089
32 O 0.117 0.844 0.589
33 O 0.161 0.152 0.128
34 O 0.161 0.348 0.628
35 O 0.225 0.049 0.477
36 O 0.225 0.451 0.977
37 O 0.256 0.555 0.510
38 O 0.256 0.945 0.010
39 O 0.308 0.670 0.883
40 O 0.308 0.830 0.383
41 O 0.363 0.167 0.935
42 O 0.363 0.333 0.435
43 O 0.432 0.602 0.187
44 O 0.432 0.898 0.687
45 O 0.568 0.102 0.313
46 O 0.568 0.398 0.813
47 O 0.637 0.667 0.565
48 O 0.637 0.833 0.065
49 O 0.692 0.170 0.617
50 O 0.692 0.330 0.117
51 O 0.744 0.055 0.990
52 O 0.744 0.445 0.490
53 O 0.775 0.549 0.023
54 O 0.775 0.951 0.523
55 O 0.839 0.652 0.372
56 O 0.839 0.848 0.872
57 O 0.883 0.156 0.411
58 O 0.883 0.344 0.911
59 O 0.941 0.599 0.690
60 O 0.941 0.901 0.190

formation energy (no corrections): -2515 meV per atom
size of the total moment: 0.0000 μB per atom
N(E_F): 0.00 states/eV per cell
space group: P2_1/c (14)

=====

(6)
Li3Zr4P6O24 at its PBEsol-relaxed geometry, computed with SCAN.

abc: 8.880 8.901 8.903
angles: 119.97 118.33 91.35
Atoms (fractional coordinates):
1 Li 0.000 0.000 0.000
2 Li 0.147 0.512 0.657
3 Li 0.612 0.097 0.737
4 Zr 0.171 0.691 0.149
5 Zr 0.449 0.408 0.591
6 Zr 0.667 0.201 0.155
7 Zr 0.939 0.903 0.577
8 P 0.049 0.089 0.356
9 P 0.265 0.293 0.083
10 P 0.341 0.804 0.653
11 P 0.560 0.017 0.382
12 P 0.759 0.517 0.076
13 P 0.857 0.586 0.659
14 O 0.039 0.604 0.834
15 O 0.088 0.123 0.903
16 O 0.111 0.946 0.229
17 O 0.179 0.847 0.664
18 O 0.201 0.281 0.531
19 O 0.234 0.455 0.069
20 O 0.300 0.329 0.287
21 O 0.314 0.767 0.452
22 O 0.352 0.635 0.662
23 O 0.399 0.835 0.206
24 O 0.428 0.256 0.071
25 O 0.505 0.162 0.520
26 O 0.522 0.969 0.835
27 O 0.588 0.507 0.901
28 O 0.624 0.083 0.287
29 O 0.692 0.523 0.651
30 O 0.713 0.991 0.540
31 O 0.733 0.321 0.028
32 O 0.787 0.656 0.288
33 O 0.847 0.448 0.456
34 O 0.875 0.779 0.703
35 O 0.893 0.107 0.192
36 O 0.927 0.575 0.082
37 O 0.990 0.031 0.460

formation energy (no corrections): -2924 meV per atom
size of the total moment: 0.0281 μB per atom
N(E_F): 5.84 states/eV per cell
space group: P1 (1)

=====

(7)
LiPaO3 at its PBEsol-relaxed geometry, computed with SCAN.

abc: 4.303 4.303 4.303
angles: 90.00 90.00 90.00
Atoms (fractional coordinates):
1 Li 0.000 0.000 0.000
2 Pa 0.500 0.500 0.500
3 O 0.000 0.500 0.500
4 O 0.500 0.000 0.500
5 O 0.500 0.500 0.000

formation energy (no corrections): -3108 meV per atom
size of the total moment: 0.0000 μB per atom
N(E_F): 0.00 states/eV per cell
space group: Pm-3m (221)

=====

(8)
Li10Si2PbO10 at its PBEsol-relaxed geometry, computed with SCAN.

abc: 15.171 15.171 5.116
angles: 99.32 99.32 22.96
Atoms (fractional coordinates):
1 Li 0.008 0.008 0.261
2 Li 0.063 0.547 0.707
3 Li 0.149 0.588 0.463
4 Li 0.152 0.721 0.270
5 Li 0.176 0.176 0.927
6 Li 0.230 0.230 0.636
7 Li 0.279 0.848 0.730
8 Li 0.368 0.368 0.015
9 Li 0.412 0.851 0.537
10 Li 0.453 0.937 0.293
11 Li 0.547 0.063 0.707
12 Li 0.588 0.149 0.463
13 Li 0.632 0.632 0.985
14 Li 0.721 0.152 0.270
15 Li 0.770 0.770 0.364
16 Li 0.824 0.824 0.073
17 Li 0.848 0.279 0.730
18 Li 0.851 0.412 0.537
19 Li 0.937 0.453 0.293
20 Li 0.992 0.992 0.739
21 Si 0.100 0.100 0.195
22 Si 0.281 0.281 0.188
23 Si 0.719 0.719 0.812
24 Si 0.900 0.900 0.805
25 Pb 0.461 0.461 0.713
26 Pb 0.539 0.539 0.287
27 O 0.050 0.050 0.001
28 O 0.079 0.534 0.324
29 O 0.090 0.651 0.857
30 O 0.094 0.094 0.511
31 O 0.227 0.227 0.239
32 O 0.250 0.750 0.500
33 O 0.286 0.286 0.874
34 O 0.349 0.910 0.143
35 O 0.408 0.408 0.357
36 O 0.466 0.921 0.676
37 O 0.534 0.079 0.324
38 O 0.592 0.592 0.643
39 O 0.651 0.090 0.857
40 O 0.714 0.714 0.126
41 O 0.750 0.250 0.500
42 O 0.773 0.773 0.761
43 O 0.906 0.906 0.489
44 O 0.910 0.349 0.143
45 O 0.921 0.466 0.676
46 O 0.950 0.950 0.999

formation energy (no corrections): -2389 meV per atom
size of the total moment: 0.0000 μB per atom
N(E_F): 0.00 states/eV per cell
space group: C2/m (12)